{"formula": "CeZnAu4", "functional": "GGA-PBE", "state": "optimized geometry", "lattice": [[5.346, -3.032, 0.000], [5.346, 3.032, 0.000], [-1.659, 0.000, 7.723]], "species": ["Ce", "Ce", "Zn", "Zn", "Au", "Au", "Au", "Au", "Au", "Au", "Au", "Au"], "fractional_positions": [[0.210, 0.210, 0.307], [0.790, 0.790, 0.693], [0.440, 0.440, 0.765], [0.560, 0.560, 0.235], [0.129, 0.637, 0.051], [0.198, 0.198, 0.686], [0.266, 0.734, 0.500], [0.363, 0.871, 0.949], [0.637, 0.129, 0.051], [0.734, 0.266, 0.500], [0.802, 0.802, 0.314], [0.871, 0.363, 0.949]], "relative_energy_ev_per_atom": 0.000, "dos_ef_per_ev_atom": 1.250, "final_energy_ha_per_atom": -0.139}